DFT (PBE) results for EuRhSe2 after structural relaxation. Values from VASP.

Quantum ESPRESSO input file:
```
&SYSTEM
  ibrav = 0, nat = 4, ntyp = 3
/
ATOMIC_SPECIES
Se 78.96 Se.upf
Rh 102.91 Rh.upf
Eu 151.96 Eu.upf
CELL_PARAMETERS angstrom
4.1501 0.0000 0.0000
2.0750 3.5941 0.0000
2.0750 1.1980 5.8412
ATOMIC_POSITIONS crystal
Se 0.2684 0.2684 0.1948
Rh 0.0000 0.0000 0.0000
Se 0.7316 0.7316 0.8052
Eu 0.5000 0.5000 0.5000
```

Values from the calculation:
E_tot = -7.11 eV per atom
Raw formation energy = -0.964 eV/atom
Crystal system = trigonal